#one
The following is a GGA-PBE calculation of CsAl2Zn2 after structural relaxation, from the Alexandria database.

The structure in CIF format:
```
data_CsAl2Zn2
_chemical_formula_sum 'Cs2 Al4 Zn4'
_symmetry_space_group_name_H-M 'I 4/m m m'
_symmetry_Int_Tables_number 139
_symmetry_space_group_name_Hall '-I 4 2'
_cell_length_a 4.784
_cell_length_b 4.784
_cell_length_c 11.184
_cell_angle_alpha 90.00
_cell_angle_beta 90.00
_cell_angle_gamma 90.00
loop_
_atom_site_label
_atom_site_type_symbol
_atom_site_fract_x
_atom_site_fract_y
_atom_site_fract_z
_atom_site_occupancy
Cs1 Cs 0.000 0.000 0.000 1
Al1 Al 0.000 0.000 0.365 1
Zn1 Zn 0.000 0.500 0.250 1
```

Summary:
crystal system: tetragonal


#two
The following is a GGA-PBE calculation of CsAl2Zn2 after structural relaxation, from the Alexandria database.

The structure in CIF format:
```
data_CsAl2Zn2
_chemical_formula_sum 'Cs2 Al4 Zn4'
_symmetry_space_group_name_H-M 'P 4/m b m'
_symmetry_Int_Tables_number 127
_symmetry_space_group_name_Hall '-P 4 2ab'
_cell_length_a 8.861
_cell_length_b 8.861
_cell_length_c 3.112
_cell_angle_alpha 90.00
_cell_angle_beta 90.00
_cell_angle_gamma 90.00
loop_
_atom_site_label
_atom_site_type_symbol
_atom_site_fract_x
_atom_site_fract_y
_atom_site_fract_z
_atom_site_occupancy
Cs1 Cs 0.000 0.000 0.000 1
Al1 Al 0.129 0.371 0.500 1
Zn1 Zn 0.137 0.637 0.000 1
```

Summary:
crystal system: tetragonal


Relative to the most stable structure, the computed energies are #one 0; #two 101, all in meV per atom.


#one
The following is a GGA-PBE calculation of Cs2AlZn after structural relaxation, from the Alexandria database.

The structure in CIF format:
```
data_Cs2AlZn
_chemical_formula_sum 'Cs8 Al4 Zn4'
_symmetry_space_group_name_H-M 'F m -3 m'
_symmetry_Int_Tables_number 225
_symmetry_space_group_name_Hall '-F 4 2 3'
_cell_length_a 9.232
_cell_length_b 9.232
_cell_length_c 9.232
_cell_angle_alpha 90.00
_cell_angle_beta 90.00
_cell_angle_gamma 90.00
loop_
_atom_site_label
_atom_site_type_symbol
_atom_site_fract_x
_atom_site_fract_y
_atom_site_fract_z
_atom_site_occupancy
Cs1 Cs 0.250 0.250 0.250 1
Al1 Al 0.000 0.000 0.000 1
Zn1 Zn 0.000 0.000 0.500 1
```

Summary:
crystal system: cubic


#two
The following is a GGA-PBE calculation of Cs2AlZn after structural relaxation, from the Alexandria database.

The structure in CIF format:
```
data_Cs2AlZn
_chemical_formula_sum 'Cs8 Al4 Zn4'
_symmetry_space_group_name_H-M 'I -4 2 d'
_symmetry_Int_Tables_number 122
_symmetry_space_group_name_Hall 'I -4 2bw'
_cell_length_a 10.327
_cell_length_b 10.327
_cell_length_c 7.378
_cell_angle_alpha 90.00
_cell_angle_beta 90.00
_cell_angle_gamma 90.00
loop_
_atom_site_label
_atom_site_type_symbol
_atom_site_fract_x
_atom_site_fract_y
_atom_site_fract_z
_atom_site_occupancy
Cs1 Cs 0.223 0.250 0.125 1
Al1 Al 0.000 0.000 0.500 1
Zn1 Zn 0.000 0.000 0.000 1
```

Summary:
crystal system: tetragonal


Relative to the most stable structure, the computed energies are #one 0; #two 87, all in meV per atom.


#one
The following is a GGA-PBE calculation of Al4Cu after structural relaxation, from the Alexandria database.

The structure in CIF format:
```
data_Al4Cu
_chemical_formula_sum 'Al4 Cu1'
_symmetry_space_group_name_H-M 'P m -3 m'
_symmetry_Int_Tables_number 221
_symmetry_space_group_name_Hall '-P 4 2 3'
_cell_length_a 4.583
_cell_length_b 4.583
_cell_length_c 4.583
_cell_angle_alpha 90.00
_cell_angle_beta 90.00
_cell_angle_gamma 90.00
loop_
_atom_site_label
_atom_site_type_symbol
_atom_site_fract_x
_atom_site_fract_y
_atom_site_fract_z
_atom_site_occupancy
Al1 Al 0.000 0.000 0.000 1
Al2 Al 0.000 0.500 0.500 1
Cu1 Cu 0.500 0.500 0.500 1
```

Summary:
crystal system: cubic


#two
The following is a GGA-PBE calculation of Al4Cu after structural relaxation, from the Alexandria database.

The structure in CIF format:
```
data_Al4Cu
_chemical_formula_sum 'Al8 Cu2'
_symmetry_space_group_name_H-M 'I 4/m m m'
_symmetry_Int_Tables_number 139
_symmetry_space_group_name_Hall '-I 4 2'
_cell_length_a 3.734
_cell_length_b 3.734
_cell_length_c 12.894
_cell_angle_alpha 90.00
_cell_angle_beta 90.00
_cell_angle_gamma 90.00
loop_
_atom_site_label
_atom_site_type_symbol
_atom_site_fract_x
_atom_site_fract_y
_atom_site_fract_z
_atom_site_occupancy
Al1 Al 0.000 0.000 0.097 1
Al2 Al 0.000 0.500 0.250 1
Cu1 Cu 0.000 0.000 0.500 1
```

Summary:
crystal system: tetragonal


#three
The following is a GGA-PBE calculation of Al4Cu after structural relaxation, from the Alexandria database.

The structure in CIF format:
```
data_Al4Cu
_chemical_formula_sum 'Al8 Cu2'
_symmetry_space_group_name_H-M 'I 4/m'
_symmetry_Int_Tables_number 87
_symmetry_space_group_name_Hall '-I 4'
_cell_length_a 6.163
_cell_length_b 6.163
_cell_length_c 4.065
_cell_angle_alpha 90.00
_cell_angle_beta 90.00
_cell_angle_gamma 90.00
loop_
_atom_site_label
_atom_site_type_symbol
_atom_site_fract_x
_atom_site_fract_y
_atom_site_fract_z
_atom_site_occupancy
Al1 Al 0.108 0.700 0.000 1
Cu1 Cu 0.000 0.000 0.500 1
```

Summary:
crystal system: tetragonal


Relative to the most stable structure, the computed energies are #one 354; #two 341; #three 0, all in meV per atom.


#one
The following is a GGA-PBE calculation of AlCu6 after structural relaxation, from the Alexandria database.

The structure in CIF format:
```
data_AlCu6
_chemical_formula_sum 'Al3 Cu18'
_symmetry_space_group_name_H-M 'R -3'
_symmetry_Int_Tables_number 148
_symmetry_space_group_name_Hall '-R 3'
_cell_length_a 10.8088
_cell_length_b 10.8088
_cell_length_c 2.5685
_cell_angle_alpha 90.00
_cell_angle_beta 90.00
_cell_angle_gamma 120.00
loop_
_atom_site_label
_atom_site_type_symbol
_atom_site_fract_x
_atom_site_fract_y
_atom_site_fract_z
_atom_site_occupancy
Al1 Al 0.0000 0.0000 0.0000 1
Cu1 Cu 0.0503 0.8098 0.6416 1
```

Summary:
crystal system: trigonal


#two
The following is a GGA-PBE calculation of AlCu6 after structural relaxation, from the Alexandria database.

The structure in CIF format:
```
data_AlCu6
_chemical_formula_sum 'Al2 Cu12'
_symmetry_space_group_name_H-M 'I m -3 m'
_symmetry_Int_Tables_number 229
_symmetry_space_group_name_Hall '-I 4 2 3'
_cell_length_a 6.453
_cell_length_b 6.453
_cell_length_c 6.453
_cell_angle_alpha 90.00
_cell_angle_beta 90.00
_cell_angle_gamma 90.00
loop_
_atom_site_label
_atom_site_type_symbol
_atom_site_fract_x
_atom_site_fract_y
_atom_site_fract_z
_atom_site_occupancy
Al1 Al 0.000 0.000 0.000 1
Cu1 Cu 0.000 0.250 0.500 1
```

Summary:
crystal system: cubic


Relative to the most stable structure, the computed energies are #one 0; #two 925, all in meV per atom.


#one
The following is a GGA-PBE calculation of Al3Cu8 after structural relaxation, from the Alexandria database.

The structure in CIF format:
```
data_Al3Cu8
_chemical_formula_sum 'Al9 Cu24'
_symmetry_space_group_name_H-M 'R -3'
_symmetry_Int_Tables_number 148
_symmetry_space_group_name_Hall '-R 3'
_cell_length_a 8.2877
_cell_length_b 8.2877
_cell_length_c 8.4163
_cell_angle_alpha 90.00
_cell_angle_beta 90.00
_cell_angle_gamma 120.00
loop_
_atom_site_label
_atom_site_type_symbol
_atom_site_fract_x
_atom_site_fract_y
_atom_site_fract_z
_atom_site_occupancy
Al1 Al 0.0000 0.5000 0.0000 1
Cu1 Cu 0.0000 0.0000 0.3570 1
Cu2 Cu 0.0420 0.8444 0.8859 1
```

Summary:
crystal system: trigonal


#two
The following is a GGA-PBE calculation of Al3Cu8 after structural relaxation, from the Alexandria database.

The structure in CIF format:
```
data_Al3Cu8
_chemical_formula_sum 'Al6 Cu16'
_symmetry_space_group_name_H-M 'C 1 2/m 1'
_symmetry_Int_Tables_number 12
_symmetry_space_group_name_Hall '-C 2y'
_cell_length_a 8.285
_cell_length_b 3.678
_cell_length_c 9.350
_cell_angle_alpha 90.00
_cell_angle_beta 104.23
_cell_angle_gamma 90.00
loop_
_atom_site_label
_atom_site_type_symbol
_atom_site_fract_x
_atom_site_fract_y
_atom_site_fract_z
_atom_site_occupancy
Al1 Al 0.000 0.000 0.000 1
Al2 Al 0.098 0.000 0.643 1
Cu1 Cu 0.046 0.500 0.819 1
Cu2 Cu 0.134 0.500 0.454 1
Cu3 Cu 0.179 0.000 0.272 1
Cu4 Cu 0.226 0.500 0.089 1
```

Summary:
crystal system: monoclinic


Relative to the most stable structure, the computed energies are #one 453; #two 0, all in meV per atom.


#one
The following is a GGA-PBE calculation of DyAl3Cu3 after structural relaxation, from the Alexandria database.

The structure in CIF format:
```
data_DyAl3Cu3
_chemical_formula_sum 'Dy2 Al6 Cu6'
_symmetry_space_group_name_H-M 'P 1 21/m 1'
_symmetry_Int_Tables_number 11
_symmetry_space_group_name_Hall '-P 2yb'
_cell_length_a 6.885
_cell_length_b 4.324
_cell_length_c 8.521
_cell_angle_alpha 90.00
_cell_angle_beta 109.85
_cell_angle_gamma 90.00
loop_
_atom_site_label
_atom_site_type_symbol
_atom_site_fract_x
_atom_site_fract_y
_atom_site_fract_z
_atom_site_occupancy
Dy1 Dy 0.209 0.250 0.276 1
Al1 Al 0.143 0.250 0.892 1
Al2 Al 0.232 0.750 0.735 1
Al3 Al 0.462 0.250 0.714 1
Cu1 Cu 0.028 0.250 0.581 1
Cu2 Cu 0.203 0.750 0.036 1
Cu3 Cu 0.383 0.750 0.519 1
```

Summary:
crystal system: monoclinic


#two
The following is a GGA-PBE calculation of DyAl3Cu3 after structural relaxation, from the Alexandria database.

The structure in CIF format:
```
data_DyAl3Cu3
_chemical_formula_sum 'Dy6 Al18 Cu18'
_symmetry_space_group_name_H-M 'R -3'
_symmetry_Int_Tables_number 148
_symmetry_space_group_name_Hall '-R 3'
_cell_length_a 7.6786
_cell_length_b 7.6786
_cell_length_c 14.5627
_cell_angle_alpha 90.00
_cell_angle_beta 90.00
_cell_angle_gamma 120.00
loop_
_atom_site_label
_atom_site_type_symbol
_atom_site_fract_x
_atom_site_fract_y
_atom_site_fract_z
_atom_site_occupancy
Dy1 Dy 0.0000 0.0000 0.1757 1
Al1 Al 0.0128 0.6981 0.6282 1
Cu1 Cu 0.0005 0.7263 0.4542 1
```

Summary:
crystal system: trigonal


Relative to the most stable structure, the computed energies are #one 0; #two 16, all in meV per atom.


#one
The following is a GGA-PBE calculation of DyAl2Cu9 after structural relaxation, from the Alexandria database.

The structure in CIF format:
```
data_DyAl2Cu9
_chemical_formula_sum 'Dy3 Al6 Cu27'
_symmetry_space_group_name_H-M 'R -3 m'
_symmetry_Int_Tables_number 166
_symmetry_space_group_name_Hall '-R 3 2"'
_cell_length_a 4.9394
_cell_length_b 4.9394
_cell_length_c 23.8865
_cell_angle_alpha 90.00
_cell_angle_beta 90.00
_cell_angle_gamma 120.00
loop_
_atom_site_label
_atom_site_type_symbol
_atom_site_fract_x
_atom_site_fract_y
_atom_site_fract_z
_atom_site_occupancy
Dy1 Dy 0.0000 0.0000 0.0000 1
Al1 Al 0.0000 0.0000 0.1447 1
Cu1 Cu 0.0000 0.0000 0.3340 1
Cu2 Cu 0.0000 0.0000 0.5000 1
Cu3 Cu 0.0060 0.5030 0.9132 1
```

Summary:
crystal system: trigonal


#two
The following is a GGA-PBE calculation of DyAl2Cu9 after structural relaxation, from the Alexandria database.

The structure in CIF format:
```
data_DyAl2Cu9
_chemical_formula_sum 'Dy4 Al8 Cu36'
_symmetry_space_group_name_H-M 'I 41/a m d'
_symmetry_Int_Tables_number 141
_cell_length_a 10.106
_cell_length_b 10.106
_cell_length_c 6.586
_cell_angle_alpha 90.00
_cell_angle_beta 90.00
_cell_angle_gamma 90.00
loop_
_symmetry_equiv_pos_as_xyz
'x,y,z'
'-x,-y,-z'
'-y+1/4,x+3/4,z+1/4'
'y+1/4,-x+3/4,-z+1/4'
'-x+1/2,-y,z+1/2'
'x+1/2,y,-z+1/2'
'y+1/4,-x+1/4,z+3/4'
'-y+1/4,x+1/4,-z+3/4'
'x,-y,-z'
'-x,y,z'
'-y+1/4,-x+1/4,-z+3/4'
'y+1/4,x+1/4,z+3/4'
'-x+1/2,y,-z+1/2'
'x+1/2,-y,z+1/2'
'y+1/4,x+3/4,-z+1/4'
'-y+1/4,-x+3/4,z+1/4'
'x+1/2,y+1/2,z+1/2'
'-x+1/2,-y+1/2,-z+1/2'
'-y+3/4,x+1/4,z+3/4'
'y+3/4,-x+1/4,-z+3/4'
'-x,-y+1/2,z'
'x,y+1/2,-z'
'y+3/4,-x+3/4,z+1/4'
'-y+3/4,x+3/4,-z+1/4'
'x+1/2,-y+1/2,-z+1/2'
'-x+1/2,y+1/2,z+1/2'
'-y+3/4,-x+3/4,-z+1/4'
'y+3/4,x+3/4,z+1/4'
'-x,y+1/2,-z'
'x,-y+1/2,z'
'y+3/4,x+1/4,-z+3/4'
'-y+3/4,-x+1/4,z+3/4'
loop_
_atom_site_label
_atom_site_type_symbol
_atom_site_fract_x
_atom_site_fract_y
_atom_site_fract_z
_atom_site_occupancy
Dy1 Dy 0.000 0.250 0.375 1
Al1 Al 0.000 0.000 0.000 1
Cu1 Cu 0.000 0.250 0.875 1
Cu2 Cu 0.122 0.043 0.680 1
```

Summary:
crystal system: tetragonal


Relative to the most stable structure, the computed energies are #one 26; #two 0, all in meV per atom.


#one
The following is a GGA-PBE calculation of DyAl2Cu4 after structural relaxation, from the Alexandria database.

The structure in CIF format:
```
data_DyAl2Cu4
_chemical_formula_sum 'Dy2 Al4 Cu8'
_symmetry_space_group_name_H-M 'I 4/m m m'
_symmetry_Int_Tables_number 139
_symmetry_space_group_name_Hall '-I 4 2'
_cell_length_a 7.184
_cell_length_b 7.184
_cell_length_c 5.366
_cell_angle_alpha 90.00
_cell_angle_beta 90.00
_cell_angle_gamma 90.00
loop_
_atom_site_label
_atom_site_type_symbol
_atom_site_fract_x
_atom_site_fract_y
_atom_site_fract_z
_atom_site_occupancy
Dy1 Dy 0.000 0.000 0.000 1
Al1 Al 0.000 0.500 0.250 1
Cu1 Cu 0.000 0.227 0.500 1
```

Summary:
crystal system: tetragonal


#two
The following is a GGA-PBE calculation of DyAl2Cu4 after structural relaxation, from the Alexandria database.

The structure in CIF format:
```
data_DyAl2Cu4
_chemical_formula_sum 'Dy2 Al4 Cu8'
_symmetry_space_group_name_H-M 'I 4/m m m'
_symmetry_Int_Tables_number 139
_symmetry_space_group_name_Hall '-I 4 2'
_cell_length_a 6.409
_cell_length_b 6.409
_cell_length_c 5.133
_cell_angle_alpha 90.00
_cell_angle_beta 90.00
_cell_angle_gamma 90.00
loop_
_atom_site_label
_atom_site_type_symbol
_atom_site_fract_x
_atom_site_fract_y
_atom_site_fract_z
_atom_site_occupancy
Dy1 Dy 0.000 0.000 0.000 1
Al1 Al 0.000 0.500 0.250 1
Cu1 Cu 0.191 0.191 0.500 1
```

Summary:
crystal system: tetragonal


Relative to the most stable structure, the computed energies are #one 557; #two 0, all in meV per atom.